# 1
The following is a DFT calculation (PBE-GGA) of a relaxed structure of UP2Pd5.

Properties
M_tot ... 2.7 μB/cell
Energy of formation from the pure elements ... -520 meV per atom
Space-group type ... Immm (71)

abc: 6.1354 6.1354 6.1354
angles: 141.45 108.81 84.00
Fractional positions:
U 0.0000 0.0000 0.0000
P 0.2398 0.7398 0.5000
P 0.7602 0.2602 0.5000
Pd 0.1511 0.3461 0.8050
Pd 0.4589 0.6539 0.8050
Pd 0.5000 0.0000 0.5000
Pd 0.5411 0.3461 0.1950
Pd 0.8489 0.6539 0.1950

---

# 2
The following is a DFT calculation (PBE-GGA) of a relaxed structure of Ac4PuSe5.

Properties
Energy above the lowest structure with this stoichiometry ... 11.7 meV per atom
M_tot ... 6.0 μB/cell
E_form (uncorrected) ... -1.79 eV per atom
Space-group type ... I4/m (87)

abc: 7.6433 7.6433 7.6433
angles: 99.63 99.63 131.72
Fractional positions:
Ac 0.0960 0.6989 0.7949
Ac 0.3011 0.0960 0.3970
Ac 0.6989 0.9040 0.6030
Ac 0.9040 0.3011 0.2051
Pu 0.5000 0.5000 0.0000
Se 0.0000 0.0000 0.0000
Se 0.2113 0.4017 0.6129
Se 0.4017 0.7887 0.1904
Se 0.5983 0.2113 0.8096
Se 0.7887 0.5983 0.3871

---

# 3
The following is a DFT calculation (PBE-GGA) of a relaxed structure of Ta2CoSe.

Properties
M_tot ... 0.1 μB/cell
E_form (uncorrected) ... 0.07 eV per atom
Space-group type ... Immm (71)

abc: 4.7666 4.7666 4.7666
angles: 135.34 121.46 76.51
Fractional positions:
Ta 0.2494 0.2494 0.0000
Ta 0.7506 0.7506 0.0000
Co 0.0000 0.5000 0.5000
Se 0.5000 0.0000 0.5000

---

# 4
The following is a DFT calculation (PBE-GGA) of a relaxed structure of Nb2CoI.

Properties
Energy above the lowest structure with this stoichiometry ... 273.1 meV per atom
M_tot ... 0.0 μB/cell
E_form (uncorrected) ... 0.87 eV per atom
Space-group type ... I-42d (122)

abc: 7.1923 7.1923 7.1923
angles: 132.45 132.45 69.52
Fractional positions:
Nb 0.0478 0.6250 0.9228
Nb 0.3750 0.2978 0.4228
Nb 0.7022 0.1250 0.0772
Nb 0.8750 0.9522 0.5772
Co 0.0000 0.0000 0.0000
Co 0.7500 0.2500 0.5000
I 0.2500 0.7500 0.5000
I 0.5000 0.5000 0.0000

---

# 5
The following is a DFT calculation (PBE-GGA) of a relaxed structure of CdAs2Rh2.

Properties
Energy above the lowest structure with this stoichiometry ... 0.0 meV per atom
M_tot ... 0.0 μB/cell
Energy of formation from the pure elements ... -255 meV per atom
Space-group type ... I4/mmm (139)

abc: 5.5981 5.5981 5.5981
angles: 133.61 133.61 67.70
Fractional positions:
Cd 0.0000 0.0000 0.0000
As 0.3681 0.3681 0.0000
As 0.6319 0.6319 0.0000
Rh 0.2500 0.7500 0.5000
Rh 0.7500 0.2500 0.5000

---

# 6
The following is a DFT calculation (PBE-GGA) of a relaxed structure of ScCu2B.

Properties
M_tot ... 0.0 μB/cell
Energy of formation from the pure elements ... 269 meV per atom
Space-group type ... I-42d (122)

abc: 7.5162 7.5162 7.5162
angles: 147.29 147.29 46.93
Fractional positions:
Sc 0.0000 0.0000 0.0000
Sc 0.7500 0.2500 0.5000
Cu 0.2961 0.6250 0.1711
Cu 0.3750 0.5461 0.6711
Cu 0.4539 0.1250 0.8289
Cu 0.8750 0.7039 0.3289
B 0.2500 0.7500 0.5000
B 0.5000 0.5000 0.0000